No. 1
Li2SnBi2, optimized geometry, DFT GGA-PBEsol; N(E_F) = 0.331 states/eV/atom; crystal system = tetragonal
1.0
-0.8705 -1.0655 2.8706
-5.2753 -5.8742 -3.7802
6.5625 -5.7908 -0.1595
Li Bi Sn
4 4 2
Direct
0.5000 0.1228 0.6228 Li
0.5000 0.6228 0.8772 Li
0.5000 0.8772 0.3772 Li
0.5000 0.3772 0.1228 Li
0.0000 0.3272 0.8272 Bi
0.0000 0.8272 0.6728 Bi
0.0000 0.6728 0.1728 Bi
0.0000 0.1728 0.3272 Bi
0.0000 0.0000 0.0000 Sn
0.0000 0.5000 0.5000 Sn



No. 2
Li2Sn2Bi, optimized geometry, DFT GGA-PBEsol; N(E_F) = 0.438 states/eV/atom; crystal system = tetragonal
1.0
-1.2785 -0.0548 -3.0144
-7.6877 -0.4799 3.2693
-0.4964 8.3528 0.0588
Li Bi Sn
4 2 4
Direct
0.5000 0.1740 0.6740 Li
0.5000 0.6740 0.8260 Li
0.5000 0.8260 0.3260 Li
0.5000 0.3260 0.1740 Li
0.0000 0.0000 0.0000 Bi
0.0000 0.5000 0.5000 Bi
0.0000 0.3750 0.8750 Sn
0.0000 0.8750 0.6250 Sn
0.0000 0.6250 0.1250 Sn
0.0000 0.1250 0.3750 Sn



No. 3
Sr3LiBi, optimized geometry, DFT GGA-PBEsol; N(E_F) = 0.872 states/eV/atom; crystal system = cubic
1.0
5.7928 0.0000 0.0000
0.0000 5.7928 0.0000
0.0000 0.0000 5.7928
Sr Bi Li
3 1 1
Direct
0.0000 0.5000 0.0000 Sr
0.0000 0.0000 0.5000 Sr
0.5000 0.0000 0.0000 Sr
0.5000 0.5000 0.5000 Bi
0.0000 0.0000 0.0000 Li



No. 4
LiTcBi2, optimized geometry, DFT GGA-PBEsol; N(E_F) = 1.152 states/eV/atom; crystal system = tetragonal
1.0
6.7413 0.0000 0.0000
-3.3707 6.2831 0.1794
0.0000 3.4511 5.7910
Li Bi Tc
2 4 2
Direct
0.2500 0.5000 0.2500 Li
0.5000 0.0000 0.5000 Li
0.0953 0.7500 0.8750 Bi
0.6547 0.7500 0.3750 Bi
0.3750 0.2500 0.0953 Bi
0.8750 0.2500 0.6547 Bi
0.7500 0.5000 0.7500 Tc
0.0000 0.0000 0.0000 Tc



No. 5
Li2TlBi, optimized geometry, DFT GGA-PBEsol; N(E_F) = 0.046 states/eV/atom; crystal system = cubic
1.0
-2.1607 4.4850 -0.3348
-3.5889 1.2868 3.2188
0.8927 3.4652 3.4774
Tl Bi Li
1 1 2
Direct
0.0000 0.0000 0.0000 Tl
0.5000 0.5000 0.5000 Bi
0.2500 0.2500 0.2500 Li
0.7500 0.7500 0.7500 Li



No. 6
Li3YBi, optimized geometry, DFT GGA-PBEsol; N(E_F) = 0.847 states/eV/atom; crystal system = cubic
1.0
-0.0572 2.0571 -4.5657
-4.8037 -1.3127 -0.5313
-1.4149 4.3733 1.9881
Y Bi Li
1 1 3
Direct
0.5000 0.5000 0.5000 Y
0.0000 0.0000 0.0000 Bi
0.0000 0.5000 0.0000 Li
0.0000 0.0000 0.5000 Li
0.5000 0.0000 0.0000 Li



| no. | energy of formation from the pure elements (eV per atom) |
| --- | --- |
| 1 | -0.279 |
| 2 | -0.242 |
| 3 | 0.014 |
| 4 | 0.666 |
| 5 | -0.402 |
| 6 | 0.100 |